--- one ---
# Ca4Tl2N | Alexandria via LeMat-Bulk | PBE | relaxed
data_Ca4Tl2N
_cell_length_a 4.9192
_cell_length_b 4.9192
_cell_length_c 16.2626
_cell_angle_alpha 90.00
_cell_angle_beta 90.00
_cell_angle_gamma 90.00
_space_group_name_H-M_alt 'I 4/m m m'
_space_group_IT_number 139
_space_group_name_Hall '-I 4 2'
loop_
_atom_site_label
_atom_site_type_symbol
_atom_site_fract_x
_atom_site_fract_y
_atom_site_fract_z
_atom_site_occupancy
Ca1 Ca 0.0000 0.0000 0.1540 1
Ca2 Ca 0.0000 0.5000 0.0000 1
Tl1 Tl 0.0000 0.0000 0.3559 1
N1 N 0.0000 0.0000 0.0000 1
# Crystal system: tetragonal

---

--- two ---
# Ca4Tl2N | Alexandria via LeMat-Bulk | PBE | relaxed
data_Ca4Tl2N
_cell_length_a 5.3560
_cell_length_b 25.0276
_cell_length_c 3.4753
_cell_angle_alpha 90.00
_cell_angle_beta 90.00
_cell_angle_gamma 90.00
_space_group_name_H-M_alt 'C m m m'
_space_group_IT_number 65
_space_group_name_Hall '-C 2 2'
loop_
_atom_site_label
_atom_site_type_symbol
_atom_site_fract_x
_atom_site_fract_y
_atom_site_fract_z
_atom_site_occupancy
Ca1 Ca 0.0000 0.0593 0.0000 1
Ca2 Ca 0.0000 0.2027 0.5000 1
Tl1 Tl 0.0000 0.3301 0.0000 1
N1 N 0.0000 0.0000 0.5000 1
# Crystal system: orthorhombic

---

Relative energies, kJ/mol of atoms: one 0.0; two 17.4.

---

--- one ---
# Ca5V2N6 | Alexandria via LeMat-Bulk | PBE | relaxed
data_Ca5V2N6
_cell_length_a 6.5718
_cell_length_b 4.8039
_cell_length_c 7.3602
_cell_angle_alpha 90.00
_cell_angle_beta 104.27
_cell_angle_gamma 90.00
_space_group_name_H-M_alt 'P 1 m 1'
_space_group_IT_number 6
loop_
_space_group_symop_operation_xyz
'x,y,z'
'x,-y,z'
loop_
_atom_site_label
_atom_site_type_symbol
_atom_site_fract_x
_atom_site_fract_y
_atom_site_fract_z
_atom_site_occupancy
Ca1 Ca 0.0000 0.0000 0.0000 1
Ca2 Ca 0.1407 0.0000 0.4739 1
Ca3 Ca 0.3215 0.5000 0.2639 1
Ca4 Ca 0.4918 0.5000 0.8039 1
Ca5 Ca 0.6599 0.0000 0.5380 1
V1 V 0.5719 0.0000 0.1117 1
V2 V 0.9979 0.5000 0.6938 1
N1 N 0.1090 0.5000 0.9401 1
N2 N 0.1820 0.5000 0.5460 1
N3 N 0.3656 0.0000 0.2501 1
N4 N 0.5684 0.0000 0.8675 1
N5 N 0.7216 0.5000 0.5984 1
N6 N 0.8237 0.0000 0.2528 1
# Crystal system: monoclinic

---

--- two ---
# Ca5V2N6 | Alexandria via LeMat-Bulk | PBE | relaxed
data_Ca5V2N6
_cell_length_a 9.8098
_cell_length_b 11.4177
_cell_length_c 3.3383
_cell_angle_alpha 90.00
_cell_angle_beta 90.00
_cell_angle_gamma 90.00
_space_group_name_H-M_alt 'P b a m'
_space_group_IT_number 55
loop_
_space_group_symop_operation_xyz
'x,y,z'
'-x,-y,-z'
'-x,-y,z'
'x,y,-z'
'x+1/2,-y+1/2,-z'
'-x+1/2,y+1/2,z'
'-x+1/2,y+1/2,-z'
'x+1/2,-y+1/2,z'
loop_
_atom_site_label
_atom_site_type_symbol
_atom_site_fract_x
_atom_site_fract_y
_atom_site_fract_z
_atom_site_occupancy
Ca1 Ca 0.0000 0.0000 0.0000 1
Ca2 Ca 0.0548 0.2494 0.0000 1
Ca3 Ca 0.1721 0.5046 0.0000 1
V1 V 0.1970 0.7214 0.5000 1
N1 N 0.0469 0.6291 0.5000 1
N2 N 0.1576 0.1110 0.5000 1
N3 N 0.1983 0.8074 0.0000 1
# Crystal system: orthorhombic

---

Relative energies, kJ/mol of atoms: one 5.7; two 0.0.

---

--- one ---
# Ca2WN2 | Alexandria via LeMat-Bulk | PBE | relaxed
data_Ca2WN2
_cell_length_a 11.0500
_cell_length_b 5.1677
_cell_length_c 6.6108
_cell_angle_alpha 90.00
_cell_angle_beta 117.01
_cell_angle_gamma 90.00
_space_group_name_H-M_alt 'C 1 2/m 1'
_space_group_IT_number 12
loop_
_space_group_symop_operation_xyz
'x,y,z'
'-x,-y,-z'
'-x,y,-z'
'x,-y,z'
'x+1/2,y+1/2,z'
'-x+1/2,-y+1/2,-z'
'-x+1/2,y+1/2,-z'
'x+1/2,-y+1/2,z'
loop_
_atom_site_label
_atom_site_type_symbol
_atom_site_fract_x
_atom_site_fract_y
_atom_site_fract_z
_atom_site_occupancy
Ca1 Ca 0.0251 0.0000 0.2682 1
Ca2 Ca 0.1777 0.5000 0.1289 1
W1 W 0.1437 0.5000 0.6301 1
N1 N 0.0021 0.5000 0.2824 1
N2 N 0.1834 0.0000 0.1156 1
# Crystal system: monoclinic

---

--- two ---
# Ca2WN2 | Alexandria via LeMat-Bulk | PBE | relaxed
data_Ca2WN2
_cell_length_a 3.5939
_cell_length_b 3.5939
_cell_length_c 10.8429
_cell_angle_alpha 90.00
_cell_angle_beta 90.00
_cell_angle_gamma 90.00
_space_group_name_H-M_alt 'I 4/m m m'
_space_group_IT_number 139
_space_group_name_Hall '-I 4 2'
loop_
_atom_site_label
_atom_site_type_symbol
_atom_site_fract_x
_atom_site_fract_y
_atom_site_fract_z
_atom_site_occupancy
Ca1 Ca 0.0000 0.5000 0.2500 1
W1 W 0.0000 0.0000 0.0000 1
N1 N 0.0000 0.0000 0.3890 1
# Crystal system: tetragonal

---

--- three ---
# Ca2WN2 | Alexandria via LeMat-Bulk | PBE | relaxed
data_Ca2WN2
_cell_length_a 5.2810
_cell_length_b 6.2721
_cell_length_c 6.6542
_cell_angle_alpha 89.57
_cell_angle_beta 68.11
_cell_angle_gamma 65.35
_space_group_name_H-M_alt 'P -1'
_space_group_IT_number 2
loop_
_space_group_symop_operation_xyz
'x,y,z'
'-x,-y,-z'
loop_
_atom_site_label
_atom_site_type_symbol
_atom_site_fract_x
_atom_site_fract_y
_atom_site_fract_z
_atom_site_occupancy
Ca1 Ca 0.0913 0.0783 0.2200 1
Ca2 Ca 0.2905 0.2816 0.6628 1
W1 W 0.4220 0.4326 0.1905 1
N1 N 0.1864 0.7099 0.3941 1
N2 N 0.4168 0.8902 0.7730 1
# Crystal system: triclinic

---

--- four ---
# Ca2WN2 | Alexandria via LeMat-Bulk | PBE | relaxed
data_Ca2WN2
_cell_length_a 6.0897
_cell_length_b 6.0897
_cell_length_c 3.7536
_cell_angle_alpha 90.00
_cell_angle_beta 90.00
_cell_angle_gamma 90.00
_space_group_name_H-M_alt 'P 4/m b m'
_space_group_IT_number 127
_space_group_name_Hall '-P 4 2ab'
loop_
_atom_site_label
_atom_site_type_symbol
_atom_site_fract_x
_atom_site_fract_y
_atom_site_fract_z
_atom_site_occupancy
Ca1 Ca 0.1486 0.3514 0.0000 1
W1 W 0.0000 0.0000 0.5000 1
N1 N 0.1904 0.6904 0.5000 1
# Crystal system: tetragonal

---

Relative energies, kJ/mol of atoms: one 0.0; two 195.2; three 3.1; four 51.7.

---

--- one ---
# CaW3N | Alexandria via LeMat-Bulk | PBE | relaxed
data_CaW3N
_cell_length_a 4.6117
_cell_length_b 4.6117
_cell_length_c 4.6117
_cell_angle_alpha 90.00
_cell_angle_beta 90.00
_cell_angle_gamma 90.00
_space_group_name_H-M_alt 'P m -3 m'
_space_group_IT_number 221
_space_group_name_Hall '-P 4 2 3'
loop_
_atom_site_label
_atom_site_type_symbol
_atom_site_fract_x
_atom_site_fract_y
_atom_site_fract_z
_atom_site_occupancy
Ca1 Ca 0.0000 0.0000 0.0000 1
W1 W 0.0000 0.0000 0.5000 1
N1 N 0.5000 0.5000 0.5000 1
# Crystal system: cubic

---

--- two ---
# CaW3N | Alexandria via LeMat-Bulk | PBE | relaxed
data_CaW3N
_cell_length_a 4.2689
_cell_length_b 4.2689
_cell_length_c 4.2689
_cell_angle_alpha 90.00
_cell_angle_beta 90.00
_cell_angle_gamma 90.00
_space_group_name_H-M_alt 'P m -3 m'
_space_group_IT_number 221
_space_group_name_Hall '-P 4 2 3'
loop_
_atom_site_label
_atom_site_type_symbol
_atom_site_fract_x
_atom_site_fract_y
_atom_site_fract_z
_atom_site_occupancy
Ca1 Ca 0.0000 0.0000 0.0000 1
W1 W 0.0000 0.5000 0.5000 1
N1 N 0.5000 0.5000 0.5000 1
# Crystal system: cubic

---

Relative energies, kJ/mol of atoms: one 378.8; two 0.0.

---

--- one ---
# Ca2WN3 | Alexandria via LeMat-Bulk | PBE | relaxed
data_Ca2WN3
_cell_length_a 5.5092
_cell_length_b 10.7617
_cell_length_c 12.1621
_cell_angle_alpha 90.00
_cell_angle_beta 96.24
_cell_angle_gamma 90.00
_space_group_name_H-M_alt 'C 1 2/c 1'
_space_group_IT_number 15
loop_
_space_group_symop_operation_xyz
'x,y,z'
'-x,-y,-z'
'-x,y,-z+1/2'
'x,-y,z+1/2'
'x+1/2,y+1/2,z'
'-x+1/2,-y+1/2,-z'
'-x+1/2,y+1/2,-z+1/2'
'x+1/2,-y+1/2,z+1/2'
loop_
_atom_site_label
_atom_site_type_symbol
_atom_site_fract_x
_atom_site_fract_y
_atom_site_fract_z
_atom_site_occupancy
Ca1 Ca 0.2250 0.2049 0.3611 1
Ca2 Ca 0.2333 0.1129 0.9273 1
W1 W 0.2147 0.4953 0.8307 1
N1 N 0.0000 0.0075 0.2500 1
N2 N 0.0000 0.3705 0.2500 1
N3 N 0.1761 0.3298 0.8780 1
N4 N 0.2409 0.0896 0.5390 1
# Crystal system: monoclinic

---

--- two ---
# Ca2WN3 | Alexandria via LeMat-Bulk | PBE | relaxed
data_Ca2WN3
_cell_length_a 10.5209
_cell_length_b 5.1830
_cell_length_c 6.2518
_cell_angle_alpha 90.00
_cell_angle_beta 107.57
_cell_angle_gamma 90.00
_space_group_name_H-M_alt 'C 1 2/c 1'
_space_group_IT_number 15
loop_
_space_group_symop_operation_xyz
'x,y,z'
'-x,-y,-z'
'-x,y,-z+1/2'
'x,-y,z+1/2'
'x+1/2,y+1/2,z'
'-x+1/2,-y+1/2,-z'
'-x+1/2,y+1/2,-z+1/2'
'x+1/2,-y+1/2,z+1/2'
loop_
_atom_site_label
_atom_site_type_symbol
_atom_site_fract_x
_atom_site_fract_y
_atom_site_fract_z
_atom_site_occupancy
Ca1 Ca 0.1766 0.0003 0.0888 1
W1 W 0.0000 0.4381 0.2500 1
N1 N 0.0000 0.0864 0.2500 1
N2 N 0.1410 0.4950 0.0689 1
# Crystal system: monoclinic

---

Relative energies, kJ/mol of atoms: one 0.0; two 2.8.

---

--- one ---
# Ca6ZnN2 | Alexandria via LeMat-Bulk | PBE | relaxed
data_Ca6ZnN2
_cell_length_a 6.7643
_cell_length_b 6.7643
_cell_length_c 17.6786
_cell_angle_alpha 90.00
_cell_angle_beta 90.00
_cell_angle_gamma 120.00
_space_group_name_H-M_alt 'R 3'
_space_group_IT_number 146
_space_group_name_Hall 'R 3'
loop_
_atom_site_label
_atom_site_type_symbol
_atom_site_fract_x
_atom_site_fract_y
_atom_site_fract_z
_atom_site_occupancy
Ca1 Ca 0.0468 0.3396 0.0000 1
Ca2 Ca 0.0941 0.7137 0.8324 1
Zn1 Zn 0.0000 0.0000 0.5600 1
N1 N 0.0000 0.0000 0.0722 1
N2 N 0.0000 0.0000 0.2621 1
# Crystal system: trigonal

---

--- two ---
# Ca6ZnN2 | Alexandria via LeMat-Bulk | PBE | relaxed
data_Ca6ZnN2
_cell_length_a 13.6406
_cell_length_b 4.4231
_cell_length_c 9.1741
_cell_angle_alpha 90.00
_cell_angle_beta 100.30
_cell_angle_gamma 90.00
_space_group_name_H-M_alt 'C 1 2/m 1'
_space_group_IT_number 12
loop_
_space_group_symop_operation_xyz
'x,y,z'
'-x,-y,-z'
'-x,y,-z'
'x,-y,z'
'x+1/2,y+1/2,z'
'-x+1/2,-y+1/2,-z'
'-x+1/2,y+1/2,-z'
'x+1/2,-y+1/2,z'
loop_
_atom_site_label
_atom_site_type_symbol
_atom_site_fract_x
_atom_site_fract_y
_atom_site_fract_z
_atom_site_occupancy
Ca1 Ca 0.0965 0.0000 0.2236 1
Ca2 Ca 0.1511 0.5000 0.6101 1
Ca3 Ca 0.1990 0.0000 0.8906 1
Zn1 Zn 0.0000 0.0000 0.5000 1
N1 N 0.2465 0.0000 0.1588 1
# Crystal system: monoclinic

---

Relative energies, kJ/mol of atoms: one 0.0; two 1.5.